Re4TcOs | PBE-GGA | optimized geometry

Unit cell a=4.381 b=7.565 c=5.459 alpha=90.00 beta=90.00 gamma=90.00
Fractional positions:
Re 0.000 0.167 0.249
Re 0.000 0.167 0.751
Re 0.000 0.833 0.249
Re 0.000 0.833 0.751
Re 0.500 0.333 0.249
Re 0.500 0.333 0.751
Re 0.500 0.667 0.249
Re 0.500 0.667 0.751
Tc 0.000 0.500 0.000
Tc 0.500 0.000 0.000
Os 0.000 0.500 0.500
Os 0.500 0.000 0.500

Summary:
Excess energy over the best structure of this formula in the dataset, meV per atom: 0
Space group: Cmmm, No. 65
ΔH_f (0 K), eV/atom: 0.14
DFT total energy, eV per atom: -11.754